(1)
Entry from Alexandria via LeMat-Bulk: ScSb4Os at its PBEsol-relaxed geometry (meta-GGA SCAN).

Final energy   -38.243 eV per atom
Uncorrected formation energy   5.7 eV/f.u.
DOS(E_F)   4.50 states/eV/cell
Space-group type   No. 216
Total magnetization   1.86 μB per formula unit

Lattice parameters (Å, degrees): 5.891 5.891 5.891 60.00 60.00 60.00
Each line ends with the local moment (μB).
Atoms (fractional coordinates):
Os  0.000  0.000  0.000  1.63
Sb  0.375  0.375  0.375  0.01
Sb  0.375  0.375  0.876  0.01
Sb  0.876  0.375  0.375  0.01
Sb  0.375  0.876  0.375  0.01
Sc  0.750  0.750  0.750  -0.04


(2)
Entry from Alexandria via LeMat-Bulk: ScSb2Os at its PBEsol-relaxed geometry (meta-GGA SCAN).

Excess energy over the best structure of this formula in the dataset   0.101 eV per atom
Final energy   -40.154 eV per atom
Uncorrected formation energy   0.0 eV/f.u.
DOS(E_F)   5.32 states/eV/cell
Space-group type   No. 225
Total magnetization   0.01 μB per formula unit

Lattice parameters (Å, degrees): 4.757 4.757 4.757 60.00 60.00 60.00
Atoms (fractional coordinates):
Os  0.500  0.500  0.500
Sb  0.250  0.250  0.250
Sb  0.750  0.750  0.750
Sc  0.000  0.000  0.000


(3)
Entry from Alexandria via LeMat-Bulk: Sb2OsSe at its PBEsol-relaxed geometry (meta-GGA SCAN).

Final energy   -40.833 eV per atom
Uncorrected formation energy   3.1 eV/f.u.
DOS(E_F)   1.82 states/eV/cell
Space-group type   No. 139
Total magnetization   0.00 μB per formula unit

Lattice parameters (Å, degrees): 4.478 5.014 4.478 63.48 90.00 116.52
Atoms (fractional coordinates):
Os  0.000  0.000  0.000
Sb  0.250  0.500  0.250
Sb  0.750  0.500  0.750
Se  0.500  0.000  0.500


(4)
Entry from Alexandria via LeMat-Bulk: Sb2OsSe at its PBEsol-relaxed geometry (meta-GGA SCAN).

Final energy   -40.789 eV per atom
Uncorrected formation energy   3.3 eV/f.u.
DOS(E_F)   2.39 states/eV/cell
Space-group type   No. 65
Total magnetization   0.00 μB per formula unit

Lattice parameters (Å, degrees): 3.292 4.924 4.924 101.57 90.00 90.00
Atoms (fractional coordinates):
Os  0.500  0.500  0.500
Sb  0.000  0.500  0.000
Sb  0.000  0.000  0.500
Se  0.500  0.000  0.000


(5)
Entry from Alexandria via LeMat-Bulk: Sb2OsSe at its PBEsol-relaxed geometry (meta-GGA SCAN).

Final energy   -41.215 eV per atom
Uncorrected formation energy   1.6 eV/f.u.
DOS(E_F)   2.33 states/eV/cell
Space-group type   No. 99
Total magnetization   0.00 μB per formula unit

Lattice parameters (Å, degrees): 3.044 3.044 9.203 90.00 90.00 90.00
Atoms (fractional coordinates):
Os  0.500  0.500  0.728
Sb  0.000  0.000  0.942
Sb  0.500  0.500  0.257
Se  0.000  0.000  0.573


(6)
Entry from Alexandria via LeMat-Bulk: SbOsSe at its PBEsol-relaxed geometry (meta-GGA SCAN).

Final energy   -42.388 eV per atom
Uncorrected formation energy   2.1 eV/f.u.
DOS(E_F)   2.47 states/eV/cell
Space-group type   No. 187
Total magnetization   0.00 μB per formula unit

Lattice parameters (Å, degrees): 3.238 4.415 4.415 120.00 90.00 90.00
Atoms (fractional coordinates):
Os  0.500  0.000  0.000
Sb  0.000  0.667  0.333
Se  0.500  0.333  0.667


(7)
Entry from Alexandria via LeMat-Bulk: SbOsSe4 at its PBEsol-relaxed geometry (meta-GGA SCAN).

Final energy   -30.091 eV per atom
Uncorrected formation energy   8.9 eV/f.u.
DOS(E_F)   5.49 states/eV/cell
Space-group type   No. 216
Total magnetization   2.47 μB per formula unit

Lattice parameters (Å, degrees): 5.510 5.510 5.510 60.00 60.00 60.00
Each line ends with the local moment (μB).
Atoms (fractional coordinates):
Os  0.750  0.750  0.750  2.05
Sb  0.000  0.000  0.000  -0.06
Se  0.377  0.377  0.377  0.04
Se  0.377  0.377  0.869  0.04
Se  0.869  0.377  0.377  0.04
Se  0.377  0.869  0.377  0.04


(8)
Entry from Alexandria via LeMat-Bulk: SbOsSe2 at its PBEsol-relaxed geometry (meta-GGA SCAN).

Final energy   -36.853 eV per atom
Uncorrected formation energy   1.9 eV/f.u.
DOS(E_F)   2.41 states/eV/cell
Space-group type   No. 6
Total magnetization   0.00 μB per formula unit

Lattice parameters (Å, degrees): 3.009 4.649 6.199 90.00 102.32 90.00
Atoms (fractional coordinates):
Os  0.481  0.000  0.583
Sb  0.347  0.500  0.282
Se  0.124  0.000  0.907
Se  0.548  0.500  0.728


(9)
Entry from Alexandria via LeMat-Bulk: Sb2OsSe at its PBEsol-relaxed geometry (meta-GGA SCAN).

Final energy   -40.976 eV per atom
Uncorrected formation energy   2.6 eV/f.u.
DOS(E_F)   3.01 states/eV/cell
Space-group type   No. 65
Total magnetization   0.00 μB per formula unit

Lattice parameters (Å, degrees): 3.009 3.009 10.098 90.00 90.00 114.79
Atoms (fractional coordinates):
Os  0.500  0.500  0.000
Sb  0.000  0.000  0.216
Sb  0.000  0.000  0.784
Se  0.500  0.500  0.500


(10)
Entry from Alexandria via LeMat-Bulk: Sb3OsSe at its PBEsol-relaxed geometry (meta-GGA SCAN).

Final energy   -38.941 eV per atom
Uncorrected formation energy   9.0 eV/f.u.
DOS(E_F)   3.41 states/eV/cell
Space-group type   No. 221
Total magnetization   1.26 μB per formula unit

Lattice parameters (Å, degrees): 5.106 5.106 5.106 90.00 90.00 90.00
Each line ends with the local moment (μB).
Atoms (fractional coordinates):
Sb  0.000  0.500  0.000  -0.08
Sb  0.000  0.000  0.500  -0.08
Sb  0.500  0.000  0.000  -0.08
Os  0.500  0.500  0.500  1.53
Se  0.000  0.000  0.000  -0.01


(11)
Entry from Alexandria via LeMat-Bulk: SbTe2OsSe at its PBEsol-relaxed geometry (meta-GGA SCAN).

Final energy   -40.031 eV per atom
Uncorrected formation energy   3.6 eV/f.u.
DOS(E_F)   6.57 states/eV/cell
Space-group type   No. 123
Total magnetization   0.00 μB per formula unit

Lattice parameters (Å, degrees): 5.087 5.139 5.139 90.00 90.00 90.00
Atoms (fractional coordinates):
Sb  0.500  0.000  0.000
Te  0.000  0.000  0.500
Te  0.000  0.500  0.000
Os  0.000  0.000  0.000
Se  0.500  0.500  0.500


(12)
Entry from Alexandria via LeMat-Bulk: SmSb12Os4 at its PBEsol-relaxed geometry (meta-GGA SCAN).

Final energy   -46.077 eV per atom
Uncorrected formation energy   -4.2 eV/f.u.
DOS(E_F)   11.78 states/eV/cell
Space-group type   No. 204
Total magnetization   0.00 μB per formula unit

Lattice parameters (Å, degrees): 8.052 8.052 8.052 109.47 109.47 109.47
Atoms (fractional coordinates):
Sm  0.000  0.000  0.000
Sb  0.661  0.504  0.843
Sb  0.339  0.496  0.157
Sb  0.339  0.182  0.843
Sb  0.661  0.818  0.157
Sb  0.818  0.157  0.661
Sb  0.182  0.843  0.339
Sb  0.496  0.157  0.339
Sb  0.504  0.843  0.661
Sb  0.157  0.339  0.496
Sb  0.843  0.661  0.504
Sb  0.157  0.661  0.818
Sb  0.843  0.339  0.182
Os  0.000  0.500  0.000
Os  0.500  0.500  0.500
Os  0.000  0.000  0.500
Os  0.500  0.000  0.000